(1)
Crystalline TiCrAgCl2 at its relaxed geometry, computed with PBE.

a b c (Å): 4.5669 4.5669 5.4434
angles (deg): 90.00 90.00 90.00
Space group P4/mmm (No. 123)
Inequivalent atoms, fractional coordinates:
Ti 0.0000 0.0000 0.0000 [1 per cell]
Cr 0.0000 0.0000 0.5000 [1 per cell]
Ag 0.5000 0.5000 0.0000 [1 per cell]
Cl 0.0000 0.5000 0.5000 [2 per cell]

* raw formation energy: 312.9 meV/atom
* DOS(E_F): 5.9 states/eV/f.u.

---

(2)
Crystalline La2TbGe at its relaxed geometry, computed with PBE.

a b c (Å): 4.1548 4.1548 28.0314
angles (deg): 90.00 90.00 120.00
Space group R3m (No. 160, hexagonal axes)
Inequivalent atoms, fractional coordinates:
La 0.0000 0.0000 0.0000 [3 per cell]
La 0.0000 0.0000 0.2054 [3 per cell]
Tb 0.0000 0.0000 0.7694 [3 per cell]
Ge 0.0000 0.0000 0.6035 [3 per cell]

* energy of formation from the pure elements: -202 meV/atom
* DOS(E_F): 5.9 states/eV/f.u.

---

(3)
Crystalline PmMnB at its relaxed geometry, computed with PBE.

a b c (Å): 3.5293 3.5293 8.3826
angles (deg): 90.00 90.00 90.00
Space group P4/nmm (No. 129, origin choice 2)
Inequivalent atoms, fractional coordinates:
Pm 0.2500 0.2500 0.1974 [2 per cell]
Mn 0.2500 0.7500 0.5000 [2 per cell]
B 0.2500 0.2500 0.6376 [2 per cell]

* energy of formation from the pure elements: -239 meV/atom
* DOS(E_F): 3.3 states/eV/f.u.

---

(4)
Crystalline Al12Zn5Ga2 at its relaxed geometry, computed with PBE.

a b c (Å): 19.7811 8.1464 4.0633
angles (deg): 90.00 101.55 90.00
Space group C2/m (No. 12)
Inequivalent atoms, fractional coordinates:
Al 0.0974 0.0000 0.0949 [4 per cell]
Al 0.0980 0.2500 0.5973 [8 per cell]
Al 0.1005 0.5000 0.1007 [4 per cell]
Al 0.2007 0.2446 0.1989 [8 per cell]
Zn 0.0000 0.0000 0.5000 [2 per cell]
Zn 0.1983 0.5000 0.6966 [4 per cell]
Zn 0.1992 0.0000 0.6967 [4 per cell]
Ga 0.0000 0.2701 0.0000 [4 per cell]

* energy of formation from the pure elements: 54 meV/atom
* DOS(E_F): 4.7 states/eV/f.u.

---

(5)
Crystalline Ca3Zn2CuAu9 at its relaxed geometry, computed with PBE.

a b c (Å): 5.8630 5.8630 11.8671
angles (deg): 90.00 90.00 120.00
Space group P-3m1 (No. 164)
Inequivalent atoms, fractional coordinates:
Ca 0.0000 0.0000 0.0000 [1 per cell]
Ca 0.3333 0.6667 0.7623 [2 per cell]
Zn 0.3333 0.6667 0.1689 [2 per cell]
Cu 0.0000 0.0000 0.5000 [1 per cell]
Au 0.0000 0.5000 0.0000 [3 per cell]
Au 0.1665 0.3331 0.3370 [6 per cell]

* energy of formation from the pure elements: -327 meV/atom
* DOS(E_F): 5.5 states/eV/f.u.

---

(6)
Crystalline NiPt3Rh3 at its relaxed geometry, computed with PBE.

a b c (Å): 7.8522 7.8522 6.0780
angles (deg): 90.00 90.00 120.00
Space group R3m (No. 160, hexagonal axes)
Inequivalent atoms, fractional coordinates:
Ni 0.0000 0.0000 0.0000 [3 per cell]
Pt 0.0990 0.5495 0.0062 [9 per cell]
Rh 0.0384 0.5192 0.4253 [9 per cell]

* energy of formation from the pure elements: 275 meV/atom
* DOS(E_F): 13.2 states/eV/f.u.

---

(7)
Crystalline PaSiS at its relaxed geometry, computed with PBE.

a b c (Å): 3.8144 3.8144 8.0967
angles (deg): 90.00 90.00 90.00
Space group P4/nmm (No. 129, origin choice 2)
Inequivalent atoms, fractional coordinates:
Pa 0.2500 0.2500 0.2108 [2 per cell]
Si 0.2500 0.7500 0.5000 [2 per cell]
S 0.2500 0.2500 0.8554 [2 per cell]

* raw formation energy: -1142.7 meV/atom
* DOS(E_F): 3.5 states/eV/f.u.

---

(8)
Crystalline Tb3OsO6 at its relaxed geometry, computed with PBE.

a b c (Å): 8.9080 11.2323 5.6523
angles (deg): 90.00 90.00 90.00
Space group Cmc2_1 (No. 36)
Inequivalent atoms, fractional coordinates:
Tb 0.0000 0.0984 0.0000 [4 per cell]
Tb 0.1978 0.3979 0.9481 [8 per cell]
Os 0.0000 0.2909 0.4309 [4 per cell]
O 0.0000 0.2841 0.7558 [4 per cell]
O 0.0000 0.4436 0.2044 [4 per cell]
O 0.1583 0.0169 0.7211 [8 per cell]
O 0.1607 0.2389 0.2005 [8 per cell]

* raw formation energy: -2609.6 meV/atom
* DOS(E_F): 1.3 states/eV/f.u.

---

(9)
Crystalline Sr2TbMg12Hg3 at its relaxed geometry, computed with PBE.

a b c (Å): 8.9189 8.9189 24.1583
angles (deg): 90.00 90.00 120.00
Space group R-3m (No. 166, hexagonal axes)
Inequivalent atoms, fractional coordinates:
Sr 0.0000 0.0000 0.0830 [6 per cell]
Tb 0.0000 0.0000 0.5000 [3 per cell]
Mg 0.0831 0.5415 0.8700 [18 per cell]
Mg 0.0944 0.5472 0.2704 [18 per cell]
Hg 0.0000 0.5000 0.0000 [9 per cell]

* energy of formation from the pure elements: 117 meV/atom
* DOS(E_F): 10.4 states/eV/f.u.

---

(10)
Crystalline Rb2NaSI at its relaxed geometry, computed with PBE.

a b c (Å): 6.4525 6.4525 5.2149
angles (deg): 90.00 90.00 90.00
Space group P4/mmm (No. 123)
Inequivalent atoms, fractional coordinates:
Rb 0.0000 0.5000 0.0000 [2 per cell]
Na 0.0000 0.0000 0.5000 [1 per cell]
S 0.0000 0.0000 0.0000 [1 per cell]
I 0.5000 0.5000 0.5000 [1 per cell]

* raw formation energy: -1141.6 meV/atom
* DOS(E_F): 0.0 states/eV/f.u.

---

(11)
Crystalline BaAsAu at its relaxed geometry, computed with PBE.

a b c (Å): 4.8559 6.9131 11.0650
angles (deg): 90.00 90.00 90.00
Space group Fmm2 (No. 42)
Inequivalent atoms, fractional coordinates:
Ba 0.0000 0.0000 0.0000 [4 per cell]
As 0.0000 0.0000 0.2994 [4 per cell]
Au 0.0000 0.0000 0.7138 [4 per cell]

* energy of formation from the pure elements: -412 meV/atom
* DOS(E_F): 1.1 states/eV/f.u.

---

(12)
Crystalline Ac2MnGe4Au3 at its relaxed geometry, computed with PBE.

a b c (Å): 4.5225 4.5225 10.8021
angles (deg): 90.00 90.00 90.00
Space group P-4m2 (No. 115)
Inequivalent atoms, fractional coordinates:
Ac 0.0000 0.5000 0.2494 [2 per cell]
Mn 0.0000 0.0000 0.5000 [1 per cell]
Ge 0.0000 0.0000 0.0000 [1 per cell]
Ge 0.0000 0.5000 0.6274 [2 per cell]
Ge 0.5000 0.5000 0.0000 [1 per cell]
Au 0.0000 0.5000 0.8682 [2 per cell]
Au 0.5000 0.5000 0.5000 [1 per cell]

* energy of formation from the pure elements: -551 meV/atom
* DOS(E_F): 3.1 states/eV/f.u.